Record 1
Computed, not measured: Mn3Ni after structural relaxation at the PBE level of DFT.

Unit cell a=4.6609 b=4.6609 c=4.6609 alpha=117.16 beta=117.16 gamma=117.16
Closest atoms and distances in Å follow each position.
Sites, in units of the cell vectors:
Mn: 0.0000 0.5000 0.5000  6 Mn 2.38-2.43, 2 Ni 2.43
Mn: 0.5000 0.0000 0.5000  6 Mn 2.38-2.43, 2 Ni 2.43
Mn: 0.5000 0.5000 0.0000  6 Mn 2.38-2.43, 2 Ni 2.43
Ni: 0.0000 0.0000 0.0000  2 Ni 2.38, 6 Mn 2.43

Calculated values
E   -32.45 eV for the cell shown
Density   8.53 g/cm3
Formation energy   0.838 eV/f.u.
Symmetry   No. 166

---

Record 2
Computed, not measured: MnNi after structural relaxation at the PBE level of DFT.

Unit cell a=4.8409 b=4.8409 c=5.8777 alpha=104.64 beta=104.64 gamma=31.07
Closest atoms and distances in Å follow each position.
Sites, in units of the cell vectors:
Mn: 0.0000 0.0000 0.0000  7 Ni 2.50-2.57, 5 Mn 2.51-2.59
Mn: 0.0486 0.0486 0.5996  5 Mn 2.49-2.59, 7 Ni 2.51-2.56
Mn: 0.6651 0.6651 0.3343  6 Mn 2.49-2.59, 6 Ni 2.51-2.55
Ni: 0.3307 0.3307 0.6663  5 Ni 2.49-2.59, 7 Mn 2.51-2.56
Ni: 0.3834 0.3834 0.2677  7 Mn 2.50-2.55, 5 Ni 2.52-2.59
Ni: 0.7162 0.7162 0.9347  6 Ni 2.49-2.59, 6 Mn 2.51-2.57

Calculated values
E   -44.65 eV for the cell shown
Density   8.25 g/cm3
Formation energy   0.069 eV/f.u.
Symmetry   No. 8

---

Record 3
Computed, not measured: Mn3Ni2 after structural relaxation at the PBE level of DFT.

Unit cell a=4.0501 b=4.0501 c=4.9739 alpha=90.00 beta=90.00 gamma=120.00
Closest atoms and distances in Å follow each position.
Sites, in units of the cell vectors:
Mn: 0.0000 0.0000 0.0000  6 Ni 2.46
Mn: 0.3333 0.6667 0.3496  5 Ni 2.48-2.54, 3 Mn 2.78
Mn: 0.6667 0.3333 0.6504  5 Ni 2.48-2.54, 3 Mn 2.78
Ni: 0.3333 0.6667 0.8492  8 Mn 2.46-2.54
Ni: 0.6667 0.3333 0.1508  8 Mn 2.46-2.54

Calculated values
E   -37.93 eV for the cell shown
Density   6.63 g/cm3
Formation energy   1.142 eV/f.u.
Symmetry   No. 164